# VCrHg2Ge

An optimized crystal structure of VCrHg2Ge (PBE, Alexandria via LeMat-Bulk).

Output
**Formation enthalpy at 0 K**: 0.938 eV/atom
**Total magnetic moment**: 0.1926 μB per atom

Lattice parameters (Å, degrees): 5.191 5.191 4.038 90.00 90.00 90.00
Atoms (fractional coordinates):
V1 0.000 0.000 0.000
Cr1 0.000 0.000 0.500
Hg1 0.000 0.500 0.500
Hg2 0.500 0.000 0.500
Ge1 0.500 0.500 0.000